Entry 1:
Computed, not measured: a geometry-optimized YCuP2 structure at the PBE-GGA level of DFT.

The structure in POSCAR format:
```
YCuP2
1.0
-1.9403 1.9403 4.7326
1.9403 -1.9403 4.7326
1.9403 1.9403 -4.7326
Y Cu P
1 1 2
Direct
0.0000 0.0000 0.0000
0.2500 0.7500 0.5000
0.3816 0.3816 0.0000
0.6184 0.6184 0.0000
```

## Properties
As for the energy: -6.136 eV per atom. Its magnetic moment is 0.00 μB per cell. The formation energy comes out at -0.79 eV/atom. Its space group is No. 119.

=====

Entry 2:
Computed, not measured: a geometry-optimized Y2TlGe structure at the PBE-GGA level of DFT.

The structure in POSCAR format:
```
Y2TlGe
1.0
2.0632 1.1912 7.7693
-2.0632 1.1912 7.7693
0.0000 -2.3824 7.7693
Y Tl Ge
2 1 1
Direct
0.2345 0.2345 0.2345
0.7655 0.7655 0.7655
0.0000 0.0000 0.0000
0.5000 0.5000 0.5000
```

## Properties
As for the energy: -5.491 eV per atom. Its magnetic moment is 0.00 μB per cell. The formation energy comes out at -0.51 eV/atom. Its space group is No. 166.

=====

Entry 3:
Computed, not measured: a geometry-optimized Sr2LaAgRh structure at the PBE-GGA level of DFT.

The structure in POSCAR format:
```
Sr2LaAgRh
1.0
5.8817 0.0000 0.0000
0.0000 5.8817 0.0000
0.0000 0.0000 5.3286
Sr La Ag Rh
2 1 1 1
Direct
0.0000 0.5000 0.0000
0.5000 0.0000 0.0000
0.0000 0.0000 0.5000
0.5000 0.5000 0.5000
0.0000 0.0000 0.0000
```

## Properties
As for the energy: -3.883 eV per atom. Its magnetic moment is 0.00 μB per cell. The formation energy comes out at -0.18 eV/atom. Its space group is No. 123.

=====

Entry 4:
Computed, not measured: a geometry-optimized Nd4BPb2 structure at the PBE-GGA level of DFT.

The structure in POSCAR format:
```
Nd4BPb2
1.0
-2.5264 2.5264 8.4854
2.5264 -2.5264 8.4854
2.5264 2.5264 -8.4854
Nd B Pb
4 1 2
Direct
0.0000 0.5000 0.5000
0.1666 0.1666 0.0000
0.5000 0.0000 0.5000
0.8334 0.8334 0.0000
0.0000 0.0000 0.0000
0.3607 0.3607 0.0000
0.6393 0.6393 0.0000
```

## Properties
As for the energy: -5.075 eV per atom. Its magnetic moment is 0.00 μB per cell. The formation energy comes out at -0.34 eV/atom. Its space group is No. 139.